# 1
First-principles (GGA-PBE) data for a relaxed Er3Cd3In crystal, as listed in the Alexandria database.

Cell and atoms, written as POSCAR:
```
Er3Cd3In
1.0
4.753 0.000 -1.037
-0.174 3.437 -0.798
-0.136 0.684 10.791
Cd Er In
3 3 1
direct
0.145 0.645 0.289
0.854 0.354 0.707
0.570 0.570 0.140
0.000 0.000 0.001
0.298 0.798 0.596
0.701 0.201 0.403
0.432 0.432 0.864
```

Results
Total magnetization, μB/f.u.: 0.0
Energy of formation from the pure elements, eV per atom: -0.30
SG: Imm2

***

# 2
First-principles (GGA-PBE) data for a relaxed SrZn3Rh crystal, as listed in the Alexandria database.

Cell and atoms, written as POSCAR:
```
SrZn3Rh
1.0
-3.006 -3.550 2.701
0.651 -3.572 -3.969
5.704 -6.510 3.147
Zn Sr Rh
6 2 2
direct
0.733 0.733 0.534
0.124 0.385 0.752
0.615 0.876 0.248
0.137 0.876 0.248
0.124 0.863 0.752
0.267 0.267 0.466
0.574 0.074 0.851
0.926 0.426 0.149
0.000 0.000 0.000
0.250 0.750 0.500
```

Results
Total magnetization, μB/f.u.: 0.0
Energy of formation from the pure elements, eV per atom: -0.20
SG: I-4m2